Compound: CoIr2Os
Source: Alexandria
Functional: PBE
Structure: optimized geometry

a = 2.6971 Å, b = 4.6469 Å, c = 9.0591 Å
α = 90.00°, β = 90.00°, γ = 90.00°
Last column: nearest neighbours and their distance in Å.
Element x y z (fractional)
Co 0.0000 0.0000 0.0000  2 Os 2.54, 2 Ir 2.56, 6 Co 2.69-2.70
Co 0.5000 0.5000 0.0000  2 Os 2.54, 2 Ir 2.56, 6 Co 2.69-2.70
Ir 0.0000 0.0000 0.5037  8 Ir 2.69-2.74, 2 Os 2.70
Ir 0.0000 0.5000 0.2399  2 Co 2.56, 8 Ir 2.69-2.74
Ir 0.5000 0.0000 0.2399  2 Co 2.56, 8 Ir 2.69-2.74
Ir 0.5000 0.5000 0.5037  8 Ir 2.69-2.74, 2 Os 2.70
Os 0.0000 0.5000 0.7621  2 Co 2.54, 6 Os 2.69-2.70, 2 Ir 2.70
Os 0.5000 0.0000 0.7621  2 Co 2.54, 6 Os 2.69-2.70, 2 Ir 2.70

Values from the calculation:
- D(E_F) (states/eV/cell) = 13.3
- crystal system = orthorhombic
- energy of formation from the pure elements (eV/f.u.) = 1.6
- spin magnetization (Bohr magnetons per cell) = 4.86
- polymorph energy (0 for the lowest one) (meV per atom) = 390.0
- symmetry = No. 35